No. 1
# PBE SiGeBiS2, optimized geometry
# Calculated volume   22.12 Å³/atom
# Calculated density   5.61 g cm⁻³
# Formation energy (no corrections)   219.7 kJ/mol of formula units
data_SiGeBiS2
_chemical_formula_sum 'Si1 Ge1 Bi1 S2'
_space_group_name_H-M_alt 'P 4/m m m'
_space_group_IT_number 123
_space_group_name_Hall '-P 4 2'
_cell_length_a 4.7971
_cell_length_b 4.7971
_cell_length_c 4.8067
_cell_angle_alpha 90.00
_cell_angle_beta 90.00
_cell_angle_gamma 90.00
loop_
_atom_site_label
_atom_site_type_symbol
_atom_site_fract_x
_atom_site_fract_y
_atom_site_fract_z
_atom_site_occupancy
Si1 Si 0.0000 0.0000 0.0000 1
Ge1 Ge 0.0000 0.0000 0.5000 1
Bi1 Bi 0.5000 0.5000 0.0000 1
S1 S 0.0000 0.5000 0.5000 1

No. 2
# PBE Sm6Ge2BiS3, optimized geometry
# Calculated volume   26.21 Å³/atom
# Calculated density   7.14 g cm⁻³
# Formation energy (no corrections)   -1665.4 kJ/mol of formula units
data_Sm6Ge2BiS3
_chemical_formula_sum 'Sm12 Ge4 Bi2 S6'
_space_group_name_H-M_alt 'C 1 2/m 1'
_space_group_IT_number 12
_space_group_name_Hall '-C 2y'
_cell_length_a 18.2318
_cell_length_b 4.2045
_cell_length_c 8.4013
_cell_angle_alpha 90.00
_cell_angle_beta 102.40
_cell_angle_gamma 90.00
loop_
_atom_site_label
_atom_site_type_symbol
_atom_site_fract_x
_atom_site_fract_y
_atom_site_fract_z
_atom_site_occupancy
Sm1 Sm 0.0021 0.0000 0.2703 1
Sm2 Sm 0.1679 0.5000 0.5842 1
Sm3 Sm 0.1741 0.5000 0.0928 1
Ge1 Ge 0.1670 0.0000 0.3351 1
Bi1 Bi 0.0000 0.5000 0.0000 1
S1 S 0.0000 0.5000 0.5000 1
S2 S 0.1653 0.0000 0.8337 1

No. 3
# PBE Tb6Ge2BiS3, optimized geometry
# Calculated volume   24.82 Å³/atom
# Calculated density   7.83 g cm⁻³
# Formation energy (no corrections)   -1654.6 kJ/mol of formula units
data_Tb6Ge2BiS3
_chemical_formula_sum 'Tb12 Ge4 Bi2 S6'
_space_group_name_H-M_alt 'C 1 2/m 1'
_space_group_IT_number 12
_space_group_name_Hall '-C 2y'
_cell_length_a 17.8995
_cell_length_b 4.1292
_cell_length_c 8.2507
_cell_angle_alpha 90.00
_cell_angle_beta 102.39
_cell_angle_gamma 90.00
loop_
_atom_site_label
_atom_site_type_symbol
_atom_site_fract_x
_atom_site_fract_y
_atom_site_fract_z
_atom_site_occupancy
Tb1 Tb 0.0024 0.0000 0.2712 1
Tb2 Tb 0.1683 0.5000 0.5835 1
Tb3 Tb 0.1744 0.5000 0.0943 1
Ge1 Ge 0.1669 0.0000 0.3352 1
Bi1 Bi 0.0000 0.5000 0.0000 1
S1 S 0.0000 0.5000 0.5000 1
S2 S 0.1652 0.0000 0.8338 1

No. 4
# PBE Ge2BiTeS, optimized geometry
# Calculated volume   26.66 Å³/atom
# Relative energy among the computed polymorphs   0 meV/atom
# Calculated density   6.40 g cm⁻³
# Formation energy (no corrections)   205.1 kJ/mol of formula units
data_Ge2BiTeS
_chemical_formula_sum 'Ge2 Bi1 Te1 S1'
_space_group_name_H-M_alt 'P 4/m m m'
_space_group_IT_number 123
_space_group_name_Hall '-P 4 2'
_cell_length_a 5.0734
_cell_length_b 5.0734
_cell_length_c 5.1794
_cell_angle_alpha 90.00
_cell_angle_beta 90.00
_cell_angle_gamma 90.00
loop_
_atom_site_label
_atom_site_type_symbol
_atom_site_fract_x
_atom_site_fract_y
_atom_site_fract_z
_atom_site_occupancy
Ge1 Ge 0.0000 0.5000 0.0000 1
Bi1 Bi 0.0000 0.0000 0.5000 1
Te1 Te 0.5000 0.5000 0.5000 1
S1 S 0.5000 0.5000 0.0000 1

No. 5
# PBE Ge2BiTeS, optimized geometry
# Calculated volume   35.07 Å³/atom
# Relative energy among the computed polymorphs   661 meV/atom
# Calculated density   4.87 g cm⁻³
# Formation energy (no corrections)   524.1 kJ/mol of formula units
data_Ge2BiTeS
_chemical_formula_sum 'Ge2 Bi1 Te1 S1'
_space_group_name_H-M_alt 'P 4/m m m'
_space_group_IT_number 123
_space_group_name_Hall '-P 4 2'
_cell_length_a 5.4229
_cell_length_b 5.4229
_cell_length_c 5.9635
_cell_angle_alpha 90.00
_cell_angle_beta 90.00
_cell_angle_gamma 90.00
loop_
_atom_site_label
_atom_site_type_symbol
_atom_site_fract_x
_atom_site_fract_y
_atom_site_fract_z
_atom_site_occupancy
Ge1 Ge 0.0000 0.5000 0.0000 1
Bi1 Bi 0.0000 0.0000 0.5000 1
Te1 Te 0.0000 0.0000 0.0000 1
S1 S 0.5000 0.5000 0.5000 1

No. 6
# PBE Tl2GeBiS4, optimized geometry
# Calculated volume   31.11 Å³/atom
# Calculated density   5.46 g cm⁻³
# Formation energy (no corrections)   -220.5 kJ/mol of formula units
data_Tl2GeBiS4
_chemical_formula_sum 'Tl4 Ge2 Bi2 S8'
_space_group_name_H-M_alt 'P m n 21'
_space_group_IT_number 31
_space_group_name_Hall 'P 2ac -2'
_cell_length_a 8.8890
_cell_length_b 9.3466
_cell_length_c 5.9918
_cell_angle_alpha 90.00
_cell_angle_beta 90.00
_cell_angle_gamma 90.00
loop_
_atom_site_label
_atom_site_type_symbol
_atom_site_fract_x
_atom_site_fract_y
_atom_site_fract_z
_atom_site_occupancy
Tl1 Tl 0.2483 0.1479 0.0000 1
Ge1 Ge 0.0000 0.3715 0.4176 1
Bi1 Bi 0.0000 0.6557 0.9683 1
S1 S 0.0000 0.3662 0.0335 1
S2 S 0.0000 0.6141 0.5114 1
S3 S 0.2076 0.2432 0.5137 1

No. 7
# PBE GeBi2Sb, optimized geometry
# Calculated volume   39.59 Å³/atom
# Relative energy among the computed polymorphs   176 meV/atom
# Calculated density   6.42 g cm⁻³
# Formation energy (no corrections)   119.7 kJ/mol of formula units
data_GeBi2Sb
_chemical_formula_sum 'Ge4 Bi8 Sb4'
_space_group_name_H-M_alt 'I -4 2 d'
_space_group_IT_number 122
_space_group_name_Hall 'I -4 2bw'
_cell_length_a 7.2546
_cell_length_b 7.2546
_cell_length_c 12.0343
_cell_angle_alpha 90.00
_cell_angle_beta 90.00
_cell_angle_gamma 90.00
loop_
_atom_site_label
_atom_site_type_symbol
_atom_site_fract_x
_atom_site_fract_y
_atom_site_fract_z
_atom_site_occupancy
Ge1 Ge 0.0000 0.0000 0.0000 1
Bi1 Bi 0.2250 0.2500 0.1250 1
Sb1 Sb 0.0000 0.0000 0.5000 1

No. 8
# PBE GeBi2Sb, optimized geometry
# Calculated volume   28.00 Å³/atom
# Relative energy among the computed polymorphs   125 meV/atom
# Calculated density   9.08 g cm⁻³
# Formation energy (no corrections)   100.1 kJ/mol of formula units
data_GeBi2Sb
_chemical_formula_sum 'Ge4 Bi8 Sb4'
_space_group_name_H-M_alt 'F m -3 m'
_space_group_IT_number 225
_space_group_name_Hall '-F 4 2 3'
_cell_length_a 7.6518
_cell_length_b 7.6518
_cell_length_c 7.6518
_cell_angle_alpha 90.00
_cell_angle_beta 90.00
_cell_angle_gamma 90.00
loop_
_atom_site_label
_atom_site_type_symbol
_atom_site_fract_x
_atom_site_fract_y
_atom_site_fract_z
_atom_site_occupancy
Ge1 Ge 0.0000 0.0000 0.0000 1
Bi1 Bi 0.2500 0.2500 0.2500 1
Sb1 Sb 0.0000 0.0000 0.5000 1